Entry from Alexandria: an optimized crystal structure of K2AlZnCd (PBE).

Geometry as CIF:
```
data_K2AlZnCd
_chemical_formula_sum 'K2 Al1 Zn1 Cd1'
_space_group_name_H-M_alt 'P 4/m m m'
_space_group_IT_number 123
_space_group_name_Hall '-P 4 2'
_cell_length_a 6.5262
_cell_length_b 6.5262
_cell_length_c 5.0384
_cell_angle_alpha 90.00
_cell_angle_beta 90.00
_cell_angle_gamma 90.00
loop_
_atom_site_label
_atom_site_type_symbol
_atom_site_fract_x
_atom_site_fract_y
_atom_site_fract_z
K1 K 0.0000 0.5000 0.0000
Al1 Al 0.0000 0.0000 0.5000
Zn1 Zn 0.5000 0.5000 0.5000
Cd1 Cd 0.5000 0.5000 0.0000
```

Entry from Alexandria: an optimized crystal structure of La2AlCd3 (PBE).

Geometry as CIF:
```
data_La2AlCd3
_chemical_formula_sum 'La16 Al8 Cd24'
_space_group_name_H-M_alt 'F m m m'
_space_group_IT_number 69
_space_group_name_Hall '-F 2 2'
_cell_length_a 7.4139
_cell_length_b 9.9710
_cell_length_c 17.2989
_cell_angle_alpha 90.00
_cell_angle_beta 90.00
_cell_angle_gamma 90.00
loop_
_atom_site_label
_atom_site_type_symbol
_atom_site_fract_x
_atom_site_fract_y
_atom_site_fract_z
La1 La 0.2396 0.0000 0.0000
La2 La 0.2500 0.2500 0.2500
Al1 Al 0.0000 0.0000 0.3343
Cd1 Cd 0.0000 0.0000 0.1699
Cd2 Cd 0.0000 0.2429 0.4154
```

Entry from Alexandria: an optimized crystal structure of La3Al2Cd4 (PBE).

Geometry as CIF:
```
data_La3Al2Cd4
_chemical_formula_sum 'La6 Al4 Cd8'
_space_group_name_H-M_alt 'C 1 2/m 1'
_space_group_IT_number 12
_cell_length_a 11.4009
_cell_length_b 4.9587
_cell_length_c 9.3587
_cell_angle_alpha 90.00
_cell_angle_beta 115.83
_cell_angle_gamma 90.00
loop_
_space_group_symop_operation_xyz
'x,y,z'
'-x,-y,-z'
'-x,y,-z'
'x,-y,z'
'x+1/2,y+1/2,z'
'-x+1/2,-y+1/2,-z'
'-x+1/2,y+1/2,-z'
'x+1/2,-y+1/2,z'
loop_
_atom_site_label
_atom_site_type_symbol
_atom_site_fract_x
_atom_site_fract_y
_atom_site_fract_z
La1 La 0.0000 0.0000 0.0000
La2 La 0.1645 0.5000 0.6690
Al1 Al 0.1112 0.5000 0.2784
Cd1 Cd 0.0764 0.0000 0.4050
Cd2 Cd 0.2031 0.5000 0.0415
```

# La2AlCd2, optimized geometry, DFT PBE
# distance to the lowest polymorph of the same formula: 1.64 eV/f.u.
data_La2AlCd2
_chemical_formula_sum 'La4 Al2 Cd4'
_space_group_name_H-M_alt 'P 4/m b m'
_space_group_IT_number 127
_space_group_name_Hall '-P 4 2ab'
_cell_length_a 9.0416
_cell_length_b 9.0416
_cell_length_c 3.7500
_cell_angle_alpha 90.00
_cell_angle_beta 90.00
_cell_angle_gamma 90.00
loop_
_atom_site_label
_atom_site_type_symbol
_atom_site_fract_x
_atom_site_fract_y
_atom_site_fract_z
La1 La 0.1772 0.3228 0.0000
Al1 Al 0.0000 0.0000 0.0000
Cd1 Cd 0.1204 0.6204 0.5000

Entry from Alexandria: an optimized crystal structure of La5Al2Cd (PBE).

Geometry as CIF:
```
data_La5Al2Cd
_chemical_formula_sum 'La20 Al8 Cd4'
_space_group_name_H-M_alt 'I 4/m c m'
_space_group_IT_number 140
_space_group_name_Hall '-I 4 2c'
_cell_length_a 8.0806
_cell_length_b 8.0806
_cell_length_c 15.6809
_cell_angle_alpha 90.00
_cell_angle_beta 90.00
_cell_angle_gamma 90.00
loop_
_atom_site_label
_atom_site_type_symbol
_atom_site_fract_x
_atom_site_fract_y
_atom_site_fract_z
La1 La 0.0000 0.0000 0.0000
La2 La 0.1726 0.3274 0.1457
Al1 Al 0.1158 0.3842 0.5000
Cd1 Cd 0.0000 0.0000 0.2500
```

Entry from Alexandria: an optimized crystal structure of LaAlCd4 (PBE).

Geometry as CIF:
```
data_LaAlCd4
_chemical_formula_sum 'La4 Al4 Cd16'
_space_group_name_H-M_alt 'F -4 3 m'
_space_group_IT_number 216
_space_group_name_Hall 'F -4 2 3'
_cell_length_a 8.4229
_cell_length_b 8.4229
_cell_length_c 8.4229
_cell_angle_alpha 90.00
_cell_angle_beta 90.00
_cell_angle_gamma 90.00
loop_
_atom_site_label
_atom_site_type_symbol
_atom_site_fract_x
_atom_site_fract_y
_atom_site_fract_z
La1 La 0.0000 0.0000 0.0000
Al1 Al 0.2500 0.2500 0.7500
Cd1 Cd 0.1250 0.1250 0.3750
```

Entry from Alexandria: an optimized crystal structure of La2AlCd (PBE).

Geometry as CIF:
```
data_La2AlCd
_chemical_formula_sum 'La2 Al1 Cd1'
_space_group_name_H-M_alt 'P 4/m m m'
_space_group_IT_number 123
_space_group_name_Hall '-P 4 2'
_cell_length_a 3.7747
_cell_length_b 3.7747
_cell_length_c 8.1030
_cell_angle_alpha 90.00
_cell_angle_beta 90.00
_cell_angle_gamma 90.00
loop_
_atom_site_label
_atom_site_type_symbol
_atom_site_fract_x
_atom_site_fract_y
_atom_site_fract_z
La1 La 0.0000 0.0000 0.2346
Al1 Al 0.5000 0.5000 0.0000
Cd1 Cd 0.5000 0.5000 0.5000
```

# La6Al2Cd, optimized geometry, DFT PBE
# distance to the lowest polymorph of the same formula: 3.05 eV/f.u.
data_La6Al2Cd
_chemical_formula_sum 'La12 Al4 Cd2'
_space_group_name_H-M_alt 'P 42/m n m'
_space_group_IT_number 136
_space_group_name_Hall '-P 4n 2n'
_cell_length_a 7.9634
_cell_length_b 7.9634
_cell_length_c 10.9547
_cell_angle_alpha 90.00
_cell_angle_beta 90.00
_cell_angle_gamma 90.00
loop_
_atom_site_label
_atom_site_type_symbol
_atom_site_fract_x
_atom_site_fract_y
_atom_site_fract_z
La1 La 0.2158 0.2158 0.0000
La2 La 0.2271 0.2271 0.3265
Al1 Al 0.0000 0.0000 0.1655
Cd1 Cd 0.0000 0.0000 0.5000

Raw total energy values, unit eV/atom, following the record order: -1.148; -3.091; -3.258; -3.086; -4.376; -2.114; -3.981; -4.090.